Record 1
Here is a geometry-optimized Cd2FeTe structure from Alexandria via LeMat-Bulk. Energies are from PBE.

Cell lengths 7.9183, 3.7617, 6.6012 Å; angles 90.00, 105.99, 90.00 degrees
Space group Cm (No. 8)
One atom of each set of equivalent atoms:
Cd (0.0000, 0.0000, 0.0000) [2 per cell]
Cd (0.2415, 0.0000, 0.7430) [2 per cell]
Fe (0.0036, 0.5000, 0.5083) [2 per cell]
Te (0.2760, 0.5000, 0.3541) [2 per cell]

Properties
The density of states at the Fermi level is 1.104 states/eV per atom. The value obtained for the total energy is -24.69 eV for the cell shown. As for the formation energy without anion corrections: 1.09 eV per formula unit. The magnetization comes out at 0.69 μB per atom.



Record 2
Here is a geometry-optimized Ba2HgGeSe5 structure from Alexandria via LeMat-Bulk. Energies are from PBE.

Cell lengths 4.2164, 20.7281, 12.6782 Å; angles 90.00, 90.00, 90.00 degrees
Space group Cmc2_1 (No. 36)
One atom of each set of equivalent atoms:
Ba (0.0000, 0.1169, 0.0000) [4 per cell]
Ba (0.0000, 0.1252, 0.3826) [4 per cell]
Hg (0.0000, 0.2334, 0.7431) [4 per cell]
Ge (0.0000, 0.4350, 0.1355) [4 per cell]
Se (0.0000, 0.0336, 0.7398) [4 per cell]
Se (0.0000, 0.2866, 0.3798) [4 per cell]
Se (0.0000, 0.3255, 0.0849) [4 per cell]
Se (0.0000, 0.3577, 0.6907) [4 per cell]
Se (0.0000, 0.4919, 0.9717) [4 per cell]

Properties
The density of states at the Fermi level is 0.352 states/eV per atom. The value obtained for the total energy is -141.19 eV for the cell shown. As for the formation energy without anion corrections: -9.11 eV per formula unit. The magnetization comes out at 0.00 μB per atom.



Record 3
Here is a geometry-optimized LiPa2CrN6 structure from Alexandria via LeMat-Bulk. Energies are from PBE.

Cell lengths 5.2313, 5.2313, 4.6572 Å; angles 90.00, 90.00, 90.00 degrees
Space group P4mm (No. 99)
One atom of each set of equivalent atoms:
Li (0.0000, 0.0000, 0.0000) [1 per cell]
Pa (0.0000, 0.5000, 0.4127) [2 per cell]
Cr (0.5000, 0.5000, 0.0179) [1 per cell]
N (0.0000, 0.0000, 0.5673) [1 per cell]
N (0.2621, 0.2621, 0.1547) [4 per cell]
N (0.5000, 0.5000, 0.6531) [1 per cell]

Properties
The density of states at the Fermi level is 0.328 states/eV per atom. The value obtained for the total energy is -87.18 eV for the cell shown. As for the formation energy without anion corrections: -6.69 eV per formula unit. The magnetization comes out at 0.09 μB per atom.